(1)
First-principles (PBE) data for crystalline BeCuTeI2 at its relaxed geometry, as listed in the Alexandria database.

## Properties
Space group = P4/mmm (123)
Energy relative to the lowest polymorph listed for this composition = 214 meV per atom

a = 5.278 Å, b = 5.278 Å, c = 5.364 Å
α = 90.00°, β = 90.00°, γ = 90.00°
Sites, in units of the cell vectors:
Be1 0.000 0.000 0.000
Cu1 0.500 0.500 0.500
Te1 0.500 0.500 0.000
I1 0.000 0.500 0.500
I2 0.500 0.000 0.500

(2)
First-principles (PBE) data for crystalline LaYAs2Se at its relaxed geometry, as listed in the Alexandria database.

## Properties
Space group = P4/mmm (123)
Energy relative to the lowest polymorph listed for this composition = 0 meV per atom

a = 5.304 Å, b = 5.304 Å, c = 5.379 Å
α = 90.00°, β = 90.00°, γ = 90.00°
Sites, in units of the cell vectors:
La1 0.000 0.000 0.000
Y1 0.500 0.500 0.500
As1 0.000 0.500 0.500
As2 0.500 0.000 0.500
Se1 0.500 0.500 0.000

Formation energy without anion corrections (eV/atom)
0.7909 -0.7038
Electronic total energy (Ha/atom)
-0.0743 -0.2035
Density of states at the Fermi level (states/eV/cell)
4.1 5.0